Entry 1:
# Nd2GdSn3IrPd2, optimized geometry, DFT PBE
# final energy: -0.437 Ry per atom
# volume: 409.6 Å³/cell
data_Nd2GdSn3IrPd2
_chemical_formula_sum 'Nd4 Gd2 Sn6 Ir2 Pd4'
_cell_length_a 4.1040
_cell_length_b 13.1572
_cell_length_c 7.5852
_cell_angle_alpha 90.00
_cell_angle_beta 90.00
_cell_angle_gamma 90.00
_space_group_name_H-M_alt 'A m m 2'
_space_group_IT_number 38
_space_group_name_Hall 'A 2 -2'
loop_
_atom_site_label
_atom_site_fract_x
_atom_site_fract_y
_atom_site_fract_z
_atom_site_occupancy
Nd1 0.0000 0.2041 0.0000 1
Gd1 0.0000 0.0000 0.3899 1
Sn1 0.5000 0.0000 0.0466 1
Sn2 0.5000 0.1250 0.6687 1
Ir1 0.0000 0.0000 0.7919 1
Pd1 0.5000 0.1639 0.2965 1

Entry 2:
# Hf4TlSnC2, optimized geometry, DFT PBE
# final energy: -0.645 Ry per atom
# volume: 141.9 Å³/cell
data_Hf4TlSnC2
_chemical_formula_sum 'Hf4 Tl1 Sn1 C2'
_cell_length_a 3.3449
_cell_length_b 3.3449
_cell_length_c 14.6473
_cell_angle_alpha 90.00
_cell_angle_beta 90.00
_cell_angle_gamma 120.00
_space_group_name_H-M_alt 'P -6 m 2'
_space_group_IT_number 187
_space_group_name_Hall 'P -6 2'
loop_
_atom_site_label
_atom_site_fract_x
_atom_site_fract_y
_atom_site_fract_z
_atom_site_occupancy
Hf1 0.0000 0.0000 0.1643 1
Hf2 0.3333 0.6667 0.3297 1
Tl1 0.0000 0.0000 0.5000 1
Sn1 0.3333 0.6667 0.0000 1
C1 0.6667 0.3333 0.2481 1

Entry 3:
# SbPd15, optimized geometry, DFT PBE
# final energy: -0.378 Ry per atom
# volume: 700.8 Å³/cell
# energy above the most stable polymorph in this dataset: 10 meV/atom
data_SbPd15
_chemical_formula_sum 'Sb2 Pd30'
_cell_length_a 4.7869
_cell_length_b 32.3550
_cell_length_c 4.7882
_cell_angle_alpha 90.00
_cell_angle_beta 109.11
_cell_angle_gamma 90.00
_space_group_name_H-M_alt 'P 1 2/c 1'
_space_group_IT_number 13
_space_group_name_Hall '-P 2yc'
loop_
_atom_site_label
_atom_site_fract_x
_atom_site_fract_y
_atom_site_fract_z
_atom_site_occupancy
Sb1 0.0000 0.1768 0.2500 1
Pd1 0.0000 0.2159 0.7500 1
Pd2 0.0000 0.2619 0.2500 1
Pd3 0.0000 0.3050 0.7500 1
Pd4 0.0000 0.3486 0.2500 1
Pd5 0.0000 0.3919 0.7500 1
Pd6 0.0000 0.4353 0.2500 1
Pd7 0.0000 0.4784 0.7500 1
Pd8 0.5000 0.1724 0.7500 1
Pd9 0.5000 0.2158 0.2500 1
Pd10 0.5000 0.2611 0.7500 1
Pd11 0.5000 0.3050 0.2500 1
Pd12 0.5000 0.3484 0.7500 1
Pd13 0.5000 0.3919 0.2500 1
Pd14 0.5000 0.4351 0.7500 1
Pd15 0.5000 0.4784 0.2500 1

Entry 4:
# Gd2Cd2AgAu3, optimized geometry, DFT PBE
# final energy: -0.261 Ry per atom
# formation enthalpy at 0 K: -0.589 eV per atom
# volume: 172.3 Å³/cell
data_Gd2Cd2AgAu3
_chemical_formula_sum 'Gd2 Cd2 Ag1 Au3'
_cell_length_a 4.9740
_cell_length_b 4.9654
_cell_length_c 6.9759
_cell_angle_alpha 90.00
_cell_angle_beta 90.11
_cell_angle_gamma 90.00
_space_group_name_H-M_alt 'P 1 m 1'
_space_group_IT_number 6
_space_group_name_Hall 'P -2y'
loop_
_atom_site_label
_atom_site_fract_x
_atom_site_fract_y
_atom_site_fract_z
_atom_site_occupancy
Gd1 0.0000 0.0000 0.0000 1
Gd2 0.4763 0.5000 0.4862 1
Cd1 0.4807 0.5000 0.9880 1
Cd2 0.9966 0.0000 0.4980 1
Ag1 0.5016 0.0000 0.7436 1
Au1 0.5008 0.0000 0.2424 1
Au2 0.9760 0.5000 0.2436 1
Au3 0.9768 0.5000 0.7426 1

Which of these has the lowest final energy? Hf4TlSnC2

The lowest volume belongs to which entry? Hf4TlSnC2

Which value of volume does entry 4 give? 172.3 Å³/cell

Which of these has the highest final energy? Gd2Cd2AgAu3